Entry 1:
## SrYB (PBE)

Data for a geometry-optimized SrYB structure.

The structure belongs to space group P4/nmm (No. 129, origin choice 2); the cell edges are 4.693, 4.693 and 7.866 Å and the angles 90.00°, 90.00° and 90.00°. The inequivalent atoms are Sr at (0.250, 0.250, 0.190), Y at (0.250, 0.250, 0.622) and B at (0.250, 0.750, 0.500).

For the calculated formation energy, the calculation gives 17.84 kJ/mol of atoms. The value obtained for the energy above the lowest structure with this stoichiometry is 0.201 eV per atom. The uncorrected energy is -0.1748 Ha/atom.



Entry 2:
## AlGaPCl (PBE)

Data for a geometry-optimized AlGaPCl structure.

The structure belongs to space group Amm2 (No. 38); the cell edges are 3.048, 4.620 and 10.843 Å and the angles 90.00°, 90.00° and 90.00°. The inequivalent atoms are Al at (0.000, 0.000, 0.000), Ga at (0.500, 0.000, 0.212), P at (0.500, 0.000, 0.817) and Cl at (0.000, 0.000, 0.523).

The value obtained for the energy above the lowest structure with this stoichiometry is 0.261 eV per atom. The calculation puts the uncorrected formation energy at -313 meV per atom. The uncorrected energy is -0.1403 Ha/atom.



Entry 3:
## CdAsRh2 (PBE)

Data for a geometry-optimized CdAsRh2 structure.

The structure belongs to space group Imm2 (No. 44); the cell edges are 3.110, 3.364 and 13.516 Å and the angles 90.00°, 90.00° and 90.00°. The inequivalent atoms are Cd at (0.000, 0.000, 0.000), As at (0.000, 0.500, 0.246), Rh at (0.000, 0.000, 0.372) and Rh at (0.000, 0.500, 0.677).

For the calculated formation energy, the calculation gives -18.91 kJ/mol of atoms. The value obtained for the energy above the lowest structure with this stoichiometry is 0.067 eV per atom. The uncorrected energy is -0.1934 Ha/atom.



Entry 4:
## Y2ZrHg (PBE)

Data for a geometry-optimized Y2ZrHg structure.

The structure belongs to space group Pmmm (No. 47); the cell edges are 3.537, 4.385 and 6.791 Å and the angles 90.00°, 90.00° and 90.00°. The inequivalent atoms are Y at (0.000, 0.000, 0.249), Zr at (0.500, 0.500, 0.000) and Hg at (0.500, 0.500, 0.500).

For the calculated formation energy, the calculation gives -10.38 kJ/mol of atoms. The uncorrected energy is -0.2040 Ha/atom.



Entry 5:
## LiAg2PdCl6 (PBE)

Data for a geometry-optimized LiAg2PdCl6 structure.

The structure belongs to space group P1 (No. 1); the cell edges are 6.534, 6.620 and 6.809 Å and the angles 62.29°, 66.44° and 75.63°. The inequivalent atoms are Li at (0.000, 0.000, 0.000), Ag at (0.373, 0.003, 0.259), Ag at (0.714, 0.669, 0.811), Pd at (0.667, 0.335, 0.474), Cl at (0.407, 0.024, 0.861), Cl at (0.429, 0.623, 0.585), Cl at (0.446, 0.362, 0.260), Cl at (0.885, 0.322, 0.689), Cl at (0.907, 0.029, 0.382) and Cl at (0.917, 0.632, 0.090).

The calculation puts the uncorrected formation energy at -668 meV per atom. The uncorrected energy is -0.1123 Ha/atom.



Entry 6:
## SrMg2GaPd2 (PBE)

Data for a geometry-optimized SrMg2GaPd2 structure.

The structure belongs to space group P4/mmm (No. 123); the cell edges are 4.817, 4.817 and 6.184 Å and the angles 90.00°, 90.00° and 90.00°. The inequivalent atoms are Sr at (0.000, 0.000, 0.000), Mg at (0.500, 0.500, 0.263), Ga at (0.000, 0.000, 0.500) and Pd at (0.000, 0.500, 0.500).

For the calculated formation energy, the calculation gives -42.21 kJ/mol of atoms. The uncorrected energy is -0.1281 Ha/atom.



Entry 7:
## NbMoSeN2 (PBE)

Data for a geometry-optimized NbMoSeN2 structure.

The structure belongs to space group P4/mmm (No. 123); the cell edges are 3.906, 3.906 and 5.076 Å and the angles 90.00°, 90.00° and 90.00°. The inequivalent atoms are Nb at (0.000, 0.000, 0.000), Mo at (0.500, 0.500, 0.500), Se at (0.500, 0.500, 0.000) and N at (0.000, 0.500, 0.500).

The value obtained for the energy above the lowest structure with this stoichiometry is 0.000 eV per atom. The calculation puts the uncorrected formation energy at 639 meV per atom. The uncorrected energy is -0.2781 Ha/atom.



Entry 8:
## LiTcPt (PBE)

Data for a geometry-optimized LiTcPt structure.

The structure belongs to space group Pnma (No. 62); the cell edges are 7.126, 3.552 and 7.827 Å and the angles 90.00°, 90.00° and 90.00°. The inequivalent atoms are Li at (0.034, 0.250, 0.146), Tc at (0.103, 0.250, 0.542) and Pt at (0.245, 0.750, 0.329).

For the calculated formation energy, the calculation gives -8.55 kJ/mol of atoms. The value obtained for the energy above the lowest structure with this stoichiometry is 0.151 eV per atom. The uncorrected energy is -0.2277 Ha/atom.



Entry 9:
## BaTlBr2 (PBE)

Data for a geometry-optimized BaTlBr2 structure.

The structure belongs to space group P4/mmm (No. 123); the cell edges are 3.963, 3.963 and 10.353 Å and the angles 90.00°, 90.00° and 90.00°. The inequivalent atoms are Ba at (0.000, 0.000, 0.000), Tl at (0.000, 0.000, 0.500) and Br at (0.500, 0.500, 0.178).

The value obtained for the energy above the lowest structure with this stoichiometry is 0.026 eV per atom. The calculation puts the uncorrected formation energy at -1307 meV per atom. The uncorrected energy is -0.1182 Ha/atom.



Entry 10:
## La4TcI (PBE)

Data for a geometry-optimized La4TcI structure.

The structure belongs to space group C2/c (No. 15); the cell edges are 9.259, 15.583 and 7.126 Å and the angles 90.00°, 120.75° and 90.00°. The inequivalent atoms are La at (0.188, 0.200, 0.203), La at (0.201, 0.063, 0.700), Tc at (0.000, 0.086, 0.250) and I at (0.000, 0.423, 0.750).

The value obtained for the energy above the lowest structure with this stoichiometry is 0.000 eV per atom. The calculation puts the uncorrected formation energy at -281 meV per atom. The uncorrected energy is -0.2040 Ha/atom.



no.,density of states at the Fermi level (states/eV/f.u.)
1,1.90
2,1.08
3,2.22
4,6.81
5,0.77
6,3.69
7,4.50
8,1.95
9,2.15
10,6.16